Below is a geometry-optimized TbPrRu structure, with properties calculated at the PBE-GGA level.

abc: 4.3778 8.6347 8.6347
angles: 90.00 90.00 90.00
Last column: nearest neighbours and their distance in Å.
Sites, in units of the cell vectors:
Ru 0.0000 0.0886 0.6258  1 Ru 2.66, 2 Tb 2.83, 2 Pr 2.92
Ru 0.5000 0.3742 0.0886  1 Ru 2.66, 2 Tb 2.83, 2 Pr 2.92
Ru 0.0000 0.9114 0.3742  1 Ru 2.66, 2 Tb 2.83, 2 Pr 2.92
Ru 0.5000 0.6258 0.9114  1 Ru 2.66, 2 Tb 2.83, 2 Pr 2.92
Pr 0.0000 0.4430 0.7830  2 Ru 2.92
Pr 0.0000 0.5570 0.2170  2 Ru 2.92
Pr 0.5000 0.2170 0.4430  2 Ru 2.92
Pr 0.5000 0.7830 0.5570  2 Ru 2.92
Tb 0.5000 0.8749 0.1703  3 Ru 2.83-3.10
Tb 0.0000 0.8297 0.8749  3 Ru 2.83-3.10
Tb 0.0000 0.1703 0.1251  3 Ru 2.83-3.10
Tb 0.5000 0.1251 0.8297  3 Ru 2.83-3.10

Properties
ΔE to the lowest computed polymorph: 1.12 kcal/mol of atoms
formation enthalpy at 0 K: -0.1601 eV per atom

***

Below is a geometry-optimized Tb2Pr3Ru2 structure, with properties calculated at the PBE-GGA level.

abc: 3.9816 6.4699 8.7154
angles: 103.61 103.27 107.91
Last column: nearest neighbours and their distance in Å.
Sites, in units of the cell vectors:
Ru 0.0374 0.8539 0.2214  2 Tb 2.78, 5 Pr 2.98-3.07
Ru 0.9626 0.1461 0.7786  2 Tb 2.78, 5 Pr 2.98-3.07
Tb 0.6451 0.4739 0.8165  2 Ru 2.78
Tb 0.3549 0.5261 0.1835  2 Ru 2.78
Pr 0.1925 0.8109 0.5723  3 Ru 2.98-3.07
Pr 0.8075 0.1891 0.4277  3 Ru 2.98-3.07
Pr 0.5000 0.0000 0.0000  4 Ru 3.07, 2 Pr 3.42

Properties
formation enthalpy at 0 K: -0.2105 eV per atom

***

Below is a geometry-optimized TbPrTlRu structure, with properties calculated at the PBE-GGA level.

abc: 5.2004 5.2004 5.2004
angles: 60.00 60.00 60.00
Last column: nearest neighbours and their distance in Å.
Sites, in units of the cell vectors:
Pr 0.2500 0.2500 0.2500  4 Tl 3.18, 4 Ru 3.18
Ru 0.5000 0.5000 0.5000  4 Pr 3.18, 4 Tb 3.18
Tl 0.0000 0.0000 0.0000  4 Tb 3.18, 4 Pr 3.18
Tb 0.7500 0.7500 0.7500  4 Tl 3.18, 4 Ru 3.18

Properties
formation enthalpy at 0 K: -0.1697 eV per atom

***

Below is a geometry-optimized TbPr2U2Ru5 structure, with properties calculated at the PBE-GGA level.

abc: 3.5429 10.9295 10.9295
angles: 90.00 90.00 90.00
Last column: nearest neighbours and their distance in Å.
Sites, in units of the cell vectors:
Pr 0.0000 0.6757 0.1757  1 U 2.92, 6 Ru 3.24-3.25
Pr 0.0000 0.1757 0.3243  1 U 2.92, 6 Ru 3.24-3.25
Pr 0.0000 0.3243 0.8243  1 U 2.92, 6 Ru 3.24-3.25
Pr 0.0000 0.8243 0.6757  1 U 2.92, 6 Ru 3.24-3.25
U 0.0000 0.8645 0.3645  6 Ru 2.57-2.74
U 0.0000 0.3645 0.1355  6 Ru 2.57-2.74
U 0.0000 0.1355 0.6355  6 Ru 2.57-2.74
U 0.0000 0.6355 0.8645  6 Ru 2.57-2.74
Ru 0.5000 0.7822 0.9509  2 U 2.57
Ru 0.5000 0.5000 0.0000  4 U 2.74
Ru 0.5000 0.0000 0.5000  4 U 2.74
Ru 0.5000 0.7178 0.4509  2 U 2.57
Ru 0.5000 0.4509 0.2822  2 U 2.57
Ru 0.5000 0.9509 0.2178  2 U 2.57
Ru 0.5000 0.2178 0.0491  2 U 2.57
Ru 0.5000 0.5491 0.7178  2 U 2.57
Ru 0.5000 0.0491 0.7822  2 U 2.57
Ru 0.5000 0.2822 0.5491  2 U 2.57
Tb 0.0000 0.0000 0.0000  8 Ru 3.02
Tb 0.0000 0.5000 0.5000  8 Ru 3.02

Properties
formation enthalpy at 0 K: -0.2066 eV per atom

***

Below is a geometry-optimized TbPrZnRu structure, with properties calculated at the PBE-GGA level.

abc: 4.0673 4.3201 5.7558
angles: 90.00 110.69 90.00
Last column: nearest neighbours and their distance in Å.
Sites, in units of the cell vectors:
Pr 0.8540 0.5000 0.7080  3 Ru 3.00-3.14, 4 Zn 3.09
Zn 0.4339 0.0000 0.8678  2 Ru 2.65
Tb 0.1363 0.0000 0.2725  3 Zn 2.98-3.21, 4 Ru 3.04
Ru 0.5759 0.5000 0.1517  2 Zn 2.65

Properties
ΔE to the lowest computed polymorph: 0.00 kcal/mol of atoms
formation enthalpy at 0 K: -0.2586 eV per atom

***

Below is a geometry-optimized TbPrZnRu structure, with properties calculated at the PBE-GGA level.

abc: 5.0326 5.0326 5.0326
angles: 60.00 60.00 60.00
Last column: nearest neighbours and their distance in Å.
Sites, in units of the cell vectors:
Tb 0.0000 0.0000 0.0000  4 Zn 3.08, 4 Ru 3.08
Ru 0.2500 0.2500 0.2500  4 Tb 3.08, 4 Pr 3.08
Pr 0.5000 0.5000 0.5000  4 Ru 3.08, 4 Zn 3.08
Zn 0.7500 0.7500 0.7500  4 Pr 3.08, 4 Tb 3.08

Properties
ΔE to the lowest computed polymorph: 0.18 kcal/mol of atoms
formation enthalpy at 0 K: -0.2509 eV per atom

***

Below is a geometry-optimized Pr4Te3Ru structure, with properties calculated at the PBE-GGA level.

abc: 7.5919 7.9696 9.0205
angles: 90.00 90.00 109.38
Last column: nearest neighbours and their distance in Å.
Sites, in units of the cell vectors:
Pr 0.9967 0.7832 0.8885  2 Ru 2.94-2.97, 2 Te 3.20-3.24
Pr 0.5033 0.2168 0.8885  2 Ru 2.94-2.97, 2 Te 3.20-3.24
Pr 0.0326 0.7749 0.3380  1 Ru 2.81
Pr 0.5326 0.7749 0.6620  1 Ru 2.81
Pr 0.9674 0.2251 0.6620  1 Ru 2.81
Pr 0.4967 0.7832 0.1115  2 Ru 2.94-2.97, 2 Te 3.20-3.24
Pr 0.4674 0.2251 0.3380  1 Ru 2.81
Pr 0.0033 0.2168 0.1115  2 Ru 2.94-2.97, 2 Te 3.20-3.24
Te 0.7500 0.5000 0.6163  6 Pr 3.18-3.55
Te 0.2500 0.0000 0.6165  6 Pr 3.21-3.25
Te 0.2500 0.5000 0.8780  6 Pr 3.17-3.42
Te 0.7500 0.0000 0.3835  6 Pr 3.21-3.25
Te 0.2500 0.5000 0.3837  6 Pr 3.18-3.55
Te 0.7500 0.5000 0.1220  6 Pr 3.17-3.42
Ru 0.2500 0.0000 0.1193  6 Pr 2.81-2.97
Ru 0.7500 0.0000 0.8807  6 Pr 2.81-2.97

Properties
formation energy from raw total energies: -1109 meV per atom

***

Below is a geometry-optimized Pr3TeRu structure, with properties calculated at the PBE-GGA level.

abc: 4.3026 8.4759 8.7764
angles: 105.89 90.00 90.00
Last column: nearest neighbours and their distance in Å.
Sites, in units of the cell vectors:
Pr 0.7500 0.6783 0.4083  2 Ru 2.93
Pr 0.2500 0.6857 0.0653  1 Ru 2.91
Pr 0.7500 0.3143 0.9347  1 Ru 2.91
Pr 0.7500 0.0659 0.2756  3 Ru 2.85-2.92
Pr 0.2500 0.9341 0.7244  3 Ru 2.85-2.92
Pr 0.2500 0.3217 0.5917  2 Ru 2.93
Ru 0.7500 0.0950 0.6149  6 Pr 2.85-2.93, 2 Ru 3.08
Ru 0.2500 0.9050 0.3851  6 Pr 2.85-2.93, 2 Ru 3.08
Te 0.7500 0.6259 0.7704  8 Pr 3.30-3.49
Te 0.2500 0.3741 0.2296  8 Pr 3.30-3.49

Properties
formation energy from raw total energies: -639 meV per atom

***

Number 1: D(E_F) 2.1 states/eV/f.u.. Number 2: D(E_F) 5.4 states/eV/f.u.. Number 3: D(E_F) 2.3 states/eV/f.u.. Number 4: D(E_F) 7.4 states/eV/f.u.. Number 5: D(E_F) 4.5 states/eV/f.u.. Number 6: D(E_F) 3.8 states/eV/f.u.. Number 7: D(E_F) 5.0 states/eV/f.u.. Number 8: D(E_F) 3.8 states/eV/f.u..